Entry 1:
ZnOsPt2 | PBE | relaxed

CIF file:
```
data_ZnOsPt2
_cell_length_a 2.763
_cell_length_b 2.763
_cell_length_c 7.796
_cell_angle_alpha 90.00
_cell_angle_beta 90.00
_cell_angle_gamma 90.00
_space_group_name_H-M_alt 'P 1'
_space_group_IT_number 1
loop_
_space_group_symop_operation_xyz
'x,y,z'
loop_
_atom_site_label
_atom_site_fract_x
_atom_site_fract_y
_atom_site_fract_z
_atom_site_occupancy
Zn1 0.000 0.000 0.000 1
Os1 0.000 0.000 0.500 1
Pt1 0.500 0.500 0.252 1
Pt2 0.500 0.500 0.748 1
```

Summary:
total energy	-25.0	eV/cell
formation enthalpy at 0 K	-0.113	eV/atom
crystal system	tetragonal

***

Entry 2:
RbTe2Pt | PBE | relaxed

CIF file:
```
data_RbTe2Pt
_cell_length_a 7.074
_cell_length_b 7.074
_cell_length_c 7.074
_cell_angle_alpha 106.59
_cell_angle_beta 106.59
_cell_angle_gamma 115.41
_space_group_name_H-M_alt 'P 1'
_space_group_IT_number 1
loop_
_space_group_symop_operation_xyz
'x,y,z'
loop_
_atom_site_label
_atom_site_fract_x
_atom_site_fract_y
_atom_site_fract_z
_atom_site_occupancy
Rb1 0.000 0.000 0.000 1
Rb2 0.750 0.250 0.500 1
Te1 0.229 0.625 0.104 1
Te2 0.375 0.479 0.604 1
Te3 0.521 0.125 0.896 1
Te4 0.875 0.771 0.396 1
Pt1 0.250 0.750 0.500 1
Pt2 0.500 0.500 0.000 1
```

Summary:
uncorrected formation energy	-481	meV/atom
total energy	-30.4	eV/cell
crystal system	tetragonal

***

> What is the total energy in the second record?

-30.4 eV/cell

***

> The highest total energy belongs to which entry?

ZnOsPt2

***

> What is the total energy in the first record?

-25.0 eV/cell